No. 1
Crystalline LiMoIr4 at its relaxed geometry, computed with GGA-PBE.

```
6
Lattice="0.000 3.625 3.625 3.625 0.000 3.625 3.625 3.625 0.000" Properties=species:S:1:pos:R:3 pbc="T T T"
Li 0.000 0.000 0.000
Mo 5.438 5.438 5.438
Ir 2.716 2.716 2.716
Ir 4.535 4.535 2.716
Ir 4.535 2.716 4.535
Ir 2.716 4.535 4.535
```

- Size of the total moment: 0.0 Bohr magnetons per cell
- Density of states at the Fermi level: 5.4 states/eV/cell
- Raw total energy: -7.865 eV/atom
- V: 95 Å³ per cell
- Density: 15.188 Mg/m³

No. 2
Crystalline LiMo2Ir at its relaxed geometry, computed with GGA-PBE.

```
4
Lattice="1.460 -2.242 0.000 1.460 2.242 0.000 0.000 0.000 9.560" Properties=species:S:1:pos:R:3 pbc="T T T"
Li 0.000 0.000 0.000
Mo 1.460 0.000 2.475
Mo 1.460 0.000 7.086
Ir 0.000 0.000 4.780
```

- Size of the total moment: 0.0 Bohr magnetons per cell
- Density of states at the Fermi level: 4.9 states/eV/cell
- Raw total energy: -7.803 eV/atom
- V: 63 Å³ per cell
- Density: 10.369 Mg/m³

No. 3
Crystalline LiMoIr2 at its relaxed geometry, computed with GGA-PBE.

```
4
Lattice="4.598 -1.357 0.000 4.598 1.357 0.000 -0.713 0.000 4.661" Properties=species:S:1:pos:R:3 pbc="T T T"
Li 0.000 0.000 0.000
Mo 6.887 0.000 1.439
Ir 1.672 0.000 3.807
Ir 4.448 0.000 2.373
```

- Size of the total moment: 0.0 Bohr magnetons per cell
- Density of states at the Fermi level: 2.9 states/eV/cell
- Raw total energy: -7.730 eV/atom
- V: 58 Å³ per cell
- Density: 13.915 Mg/m³